A relaxed Y3Al2Sn2 crystal, computed with GGA-PBE.

Cell lengths 10.0506, 10.0506, 10.0506 Å; angles 155.49, 154.87, 35.39 degrees
Element x y z (fractional)
Y (0.0000, 0.0000, 0.0000)
Y (0.1846, 0.6846, 0.5000)
Y (0.8154, 0.3154, 0.5000)
Al (0.4354, 0.4354, 0.0000)
Al (0.5646, 0.5646, 0.0000)
Sn (0.3493, 0.8493, 0.5000)
Sn (0.6507, 0.1507, 0.5000)

Output
**Density of states at the Fermi level**: 4.5 states/eV per cell
**Space-group type**: Immm, No. 71
**Total magnetic moment**: 0.0 μB per formula unit
**Energy relative to the elements**: -58.6 kJ/mol of atoms